Nd2CoI PBE-GGA optimized geometry; E_form (uncorrected) = -0.574 eV per atom; raw total energy = -20.49 eV per cell; energy relative to the lowest polymorph listed for this composition = 0.00 eV/f.u.
1.0
2.032 1.173 8.123
-2.032 1.173 8.123
0.000 -2.347 8.123
Nd Co I
2 1 1
Direct
0.227 0.227 0.227 Nd
0.773 0.773 0.773 Nd
0.500 0.500 0.500 Co
0.000 0.000 0.000 I